MnSbO after structural relaxation, computed with PBE with a Hubbard U.

```
6
Lattice="2.956 0.000 0.000 0.000 7.690 0.000 0.000 0.000 5.770" Properties=species:S:1:pos:R:3 pbc="T T T"
Mn 0.000 0.254 0.000
Mn 0.000 7.436 2.885
Sb 0.000 3.322 5.763
Sb 0.000 4.368 2.878
O 1.478 0.001 1.443
O 1.478 7.689 4.328
```

Magnetization (μB per formula unit): 4.6
DOS(E_F) (states/eV/atom): 0.291
Total energy (eV/atom): -6.3440
SG: Pmc2_1, No. 26